[1]
Computed, not measured: crystalline PaCdBr6 at its relaxed geometry at the GGA-PBE level of DFT.

abc: 7.515 7.515 6.978
angles: 98.90 98.90 124.58
Sites, in units of the cell vectors:
Pa 0.000 0.000 0.000
Cd 0.500 0.500 0.500
Br 0.106 0.402 0.256
Br 0.244 0.244 0.758
Br 0.402 0.106 0.256
Br 0.598 0.894 0.744
Br 0.756 0.756 0.242
Br 0.894 0.598 0.744

---

[2]
Computed, not measured: crystalline PaCd2Br8 at its relaxed geometry at the GGA-PBE level of DFT.

abc: 8.138 8.138 7.231
angles: 90.00 90.00 120.00
Sites, in units of the cell vectors:
Pa 0.000 0.000 0.000
Cd 0.333 0.667 0.051
Cd 0.667 0.333 0.949
Br 0.162 0.324 0.231
Br 0.162 0.838 0.231
Br 0.324 0.162 0.769
Br 0.333 0.667 0.706
Br 0.667 0.333 0.294
Br 0.676 0.838 0.231
Br 0.838 0.162 0.769
Br 0.838 0.676 0.769

---

[3]
Computed, not measured: crystalline PaCdBr at its relaxed geometry at the GGA-PBE level of DFT.

abc: 5.598 5.694 5.730
angles: 115.47 101.91 90.77
Sites, in units of the cell vectors:
Pa 0.000 0.000 0.000
Pa 0.083 0.277 0.749
Cd 0.014 0.632 0.362
Cd 0.524 0.395 0.342
Br 0.460 0.739 0.997
Br 0.575 0.091 0.684

---

[4]
Computed, not measured: crystalline PaCd2Br8 at its relaxed geometry at the GGA-PBE level of DFT.

abc: 9.686 9.686 6.854
angles: 94.18 94.18 47.34
Sites, in units of the cell vectors:
Pa 0.000 0.000 0.000
Cd 0.159 0.159 0.432
Cd 0.841 0.841 0.568
Br 0.138 0.138 0.819
Br 0.186 0.688 0.737
Br 0.294 0.294 0.355
Br 0.312 0.814 0.263
Br 0.688 0.186 0.737
Br 0.706 0.706 0.645
Br 0.814 0.312 0.263
Br 0.862 0.862 0.181

---

[5]
Computed, not measured: crystalline PaCdBr6 at its relaxed geometry at the GGA-PBE level of DFT.

abc: 7.626 7.626 7.626
angles: 55.16 55.16 55.16
Sites, in units of the cell vectors:
Pa 0.000 0.000 0.000
Cd 0.500 0.500 0.500
Br 0.092 0.406 0.752
Br 0.248 0.908 0.594
Br 0.406 0.752 0.092
Br 0.594 0.248 0.908
Br 0.752 0.092 0.406
Br 0.908 0.594 0.248

---

[6]
Computed, not measured: crystalline Cd2Pb2Br at its relaxed geometry at the GGA-PBE level of DFT.

abc: 8.633 8.633 4.018
angles: 90.00 90.00 90.00
Sites, in units of the cell vectors:
Cd 0.159 0.341 0.000
Cd 0.341 0.841 0.000
Cd 0.659 0.159 0.000
Cd 0.841 0.659 0.000
Pb 0.142 0.642 0.500
Pb 0.358 0.142 0.500
Pb 0.642 0.858 0.500
Pb 0.858 0.358 0.500
Br 0.000 0.000 0.500
Br 0.500 0.500 0.500

---

[7]
Computed, not measured: crystalline Cd3PbBr at its relaxed geometry at the GGA-PBE level of DFT.

abc: 5.737 5.737 5.737
angles: 90.00 90.00 90.00
Sites, in units of the cell vectors:
Cd 0.000 0.000 0.500
Cd 0.000 0.500 0.000
Cd 0.500 0.000 0.000
Pb 0.000 0.000 0.000
Br 0.500 0.500 0.500

---

[8]
Computed, not measured: crystalline Cd3Pb5Br16 at its relaxed geometry at the GGA-PBE level of DFT.

abc: 8.643 8.643 13.801
angles: 91.08 91.08 59.10
Sites, in units of the cell vectors:
Cd 0.000 0.000 0.000
Cd 0.167 0.665 0.495
Cd 0.665 0.167 0.495
Pb 0.161 0.161 0.265
Pb 0.493 0.493 0.757
Pb 0.498 0.997 0.997
Pb 0.665 0.665 0.497
Pb 0.997 0.498 0.997
Br 0.003 0.520 0.377
Br 0.149 0.149 0.877
Br 0.152 0.683 0.883
Br 0.312 0.846 0.120
Br 0.321 0.812 0.620
Br 0.322 0.322 0.133
Br 0.341 0.341 0.607
Br 0.487 0.487 0.382
Br 0.520 0.003 0.377
Br 0.673 0.673 0.859
Br 0.683 0.152 0.883
Br 0.812 0.321 0.620
Br 0.844 0.844 0.606
Br 0.846 0.312 0.120
Br 0.846 0.846 0.115
Br 0.989 0.989 0.386

---

[9]
Computed, not measured: crystalline Cd2Pb2Br at its relaxed geometry at the GGA-PBE level of DFT.

abc: 8.840 8.840 8.840
angles: 152.35 152.35 39.51
Sites, in units of the cell vectors:
Cd 0.250 0.750 0.500
Cd 0.750 0.250 0.500
Pb 0.100 0.100 0.000
Pb 0.900 0.900 0.000
Br 0.500 0.500 0.000

---

[10]
Computed, not measured: crystalline Cd2PbBr2 at its relaxed geometry at the GGA-PBE level of DFT.

abc: 6.327 6.327 6.327
angles: 123.97 123.97 83.25
Sites, in units of the cell vectors:
Cd 0.250 0.750 0.500
Cd 0.750 0.250 0.500
Pb 0.000 0.000 0.000
Br 0.322 0.322 0.000
Br 0.678 0.678 0.000

---

[11]
Computed, not measured: crystalline Cd3PbBr at its relaxed geometry at the GGA-PBE level of DFT.

abc: 5.616 5.616 5.616
angles: 90.00 90.00 90.00
Sites, in units of the cell vectors:
Cd 0.000 0.000 0.500
Cd 0.000 0.500 0.000
Cd 0.500 0.000 0.000
Pb 0.500 0.500 0.500
Br 0.000 0.000 0.000

---

[12]
Computed, not measured: crystalline CdPbBr at its relaxed geometry at the GGA-PBE level of DFT.

abc: 6.316 6.316 6.316
angles: 143.93 143.93 51.93
Sites, in units of the cell vectors:
Cd 0.000 0.000 0.000
Pb 0.357 0.357 0.000
Br 0.657 0.657 0.000

---

[13]
Computed, not measured: crystalline CdPbBr at its relaxed geometry at the GGA-PBE level of DFT.

abc: 15.602 3.757 3.757
angles: 60.14 90.00 90.00
Sites, in units of the cell vectors:
Cd 0.000 0.000 0.000
Cd 0.500 0.224 0.224
Pb 0.353 0.890 0.890
Pb 0.647 0.890 0.890
Br 0.115 0.334 0.334
Br 0.885 0.334 0.334

---

Number 1: calculated density 4.47 g/cm³, E_form (uncorrected) -115.25 kJ/mol of atoms. Number 2: calculated density 4.38 g/cm³, E_form (uncorrected) -99.77 kJ/mol of atoms. Number 3: calculated density 8.77 g/cm³, E_form (uncorrected) -14.95 kJ/mol of atoms. Number 4: calculated density 3.86 g/cm³, E_form (uncorrected) -101.67 kJ/mol of atoms. Number 5: calculated density 4.91 g/cm³, E_form (uncorrected) -113.76 kJ/mol of atoms. Number 6: calculated density 7.97 g/cm³, E_form (uncorrected) -7.27 kJ/mol of atoms. Number 7: calculated density 5.49 g/cm³, E_form (uncorrected) 5.96 kJ/mol of atoms. Number 8: calculated density 4.98 g/cm³, E_form (uncorrected) -84.87 kJ/mol of atoms. Number 9: calculated density 8.04 g/cm³, E_form (uncorrected) -4.92 kJ/mol of atoms. Number 10: calculated density 5.88 g/cm³, E_form (uncorrected) -2.90 kJ/mol of atoms. Number 11: calculated density 5.85 g/cm³, E_form (uncorrected) 41.58 kJ/mol of atoms. Number 12: calculated density 7.64 g/cm³, E_form (uncorrected) -20.17 kJ/mol of atoms. Number 13: calculated density 6.95 g/cm³, E_form (uncorrected) -25.50 kJ/mol of atoms.